Sc4Fe3 | Alexandria | PBE-GGA | optimized geometry; SG = I4/mmm; formation energy = -0.0589 eV per atom; crystal system = tetragonal
1.0
-1.561 1.561 12.906
1.561 -1.561 12.906
1.561 1.561 -12.906
Fe Sc
3 4
Direct
0.273 0.273 0.000 Fe
0.000 0.000 0.000 Fe
0.727 0.727 0.000 Fe
0.837 0.837 0.000 Sc
0.163 0.163 0.000 Sc
0.558 0.558 0.000 Sc
0.442 0.442 0.000 Sc